(1)
Density functional theory data (PBE) for a geometry-optimized SmCdGa structure.

Output
spin magnetization = 0.00 μB/atom
total DFT energy (no corrections) = -3.123 eV per atom
energy of formation = -0.236 eV/atom

POSCAR file:
```
SmCdGa
1.0
1.784 -8.789 0.000
1.784 8.789 0.000
0.000 0.000 5.041
Sm Cd Ga
2 2 2
direct
0.163 0.837 0.750
0.837 0.163 0.250
0.037 0.963 0.250
0.963 0.037 0.750
0.332 0.668 0.750
0.668 0.332 0.250
```

***

(2)
Density functional theory data (PBE) for a geometry-optimized SmTlO2 structure.

Output
spin magnetization = 0.00 μB/atom
total DFT energy (no corrections) = -6.522 eV per atom
E_form (uncorrected) = -2.27 eV/atom

POSCAR file:
```
SmTlO2
1.0
1.805 1.042 6.507
-1.805 1.042 6.507
0.000 -2.085 6.507
Sm Tl O
1 1 2
direct
0.000 0.000 0.000
0.500 0.500 0.500
0.275 0.275 0.275
0.725 0.725 0.725
```

***

(3)
Density functional theory data (PBE) for a geometry-optimized Sm2SiSb structure.

Output
spin magnetization = 0.00 μB/atom
total DFT energy (no corrections) = -5.638 eV per atom
E_form (uncorrected) = -0.89 eV/atom

POSCAR file:
```
Sm2SiSb
1.0
2.256 -11.785 0.000
2.256 11.785 0.000
0.000 0.000 4.142
Sm Si Sb
4 2 2
direct
0.061 0.939 0.750
0.323 0.677 0.750
0.677 0.323 0.250
0.939 0.061 0.250
0.465 0.535 0.750
0.535 0.465 0.250
0.190 0.810 0.750
0.810 0.190 0.250
```

***

(4)
Density functional theory data (PBE) for a geometry-optimized KB2SO2 structure.

Output
spin magnetization = 0.00 μB/atom
total DFT energy (no corrections) = -6.253 eV per atom
E_form (uncorrected) = -1.50 eV/atom

POSCAR file:
```
KB2SO2
1.0
6.647 0.000 0.000
0.000 4.696 0.000
-2.564 0.000 6.200
K B S O
2 4 2 4
direct
0.169 0.250 0.300
0.831 0.750 0.700
0.344 0.521 0.927
0.344 0.979 0.927
0.656 0.021 0.073
0.656 0.479 0.073
0.333 0.750 0.676
0.667 0.250 0.324
0.249 0.250 0.912
0.278 0.750 0.034
0.722 0.250 0.966
0.751 0.750 0.088
```

***

- Which formula does entry 1 have?
  SmCdGa

***

- Which formula does entry 3 have?
  Sm2SiSb

***

- What is the formula in the first record?
  SmCdGa

***

- Which value of spin magnetization does entry 1 give?
  0.00 μB/atom